Entry from Alexandria: a relaxed SrZn2Cd crystal (GGA-PBE).

## Properties
ΔE_f: -0.109 eV/atom
Size of the total moment: 0.00 μB per cell

```
SrZn2Cd
1.0
-2.450 -2.224 3.372
3.270 0.157 2.480
-1.711 4.849 1.955
Cd Sr Zn
1 1 2
Direct
0.500 0.250 0.250 Cd
0.500 0.750 0.750 Sr
0.000 0.250 0.997 Zn
0.000 0.250 0.503 Zn
```

Entry from Alexandria: a relaxed PrCdAgGe crystal (GGA-PBE).

## Properties
ΔE_f: -0.320 eV/atom
Size of the total moment: 0.00 μB per cell

```
PrCdAgGe
1.0
5.051 0.000 0.000
2.525 4.374 0.000
2.525 1.458 4.124
Pr Ge Ag Cd
1 1 1 1
Direct
0.500 0.500 0.500 Pr
0.250 0.250 0.250 Ge
0.750 0.750 0.750 Ag
0.000 0.000 0.000 Cd
```

Entry from Alexandria: a relaxed TaCrCd2I crystal (GGA-PBE).

## Properties
Size of the total moment: 7.03 μB per cell
Formation energy without anion corrections: 1483 meV per atom

```
TaCrCd2I
1.0
-2.119 -4.725 0.795
4.626 -1.791 1.685
-1.223 1.356 4.800
I Cr Cd Ta
1 1 2 1
Direct
0.000 0.000 0.500 I
0.000 0.000 0.000 Cr
0.000 0.500 0.000 Cd
0.500 0.000 0.000 Cd
0.500 0.500 0.500 Ta
```

Entry from Alexandria: a relaxed Sr3Nd2TlTe6 crystal (GGA-PBE).

## Properties
Size of the total moment: 0.00 μB per cell
Formation energy without anion corrections: -1428 meV per atom

```
Sr3Nd2TlTe6
1.0
4.638 0.000 0.000
0.000 9.445 0.458
-2.319 -2.600 9.786
Sr Nd Tl Te
3 2 1 6
Direct
0.500 0.500 0.000 Sr
0.840 0.161 0.679 Sr
0.160 0.839 0.321 Sr
0.833 0.663 0.667 Nd
0.167 0.337 0.333 Nd
0.500 0.000 0.000 Tl
0.328 0.898 0.656 Te
0.670 0.581 0.339 Te
0.672 0.102 0.344 Te
0.008 0.261 0.016 Te
0.992 0.739 0.984 Te
0.330 0.419 0.661 Te
```

Entry from Alexandria: a relaxed CePm2Eu crystal (GGA-PBE).

## Properties
ΔE_f: 0.146 eV/atom
Size of the total moment: 8.44 μB per cell

```
CePm2Eu
1.0
-4.357 -2.847 0.035
1.507 -2.252 4.375
-2.378 3.672 2.710
Eu Ce Pm
1 1 2
Direct
0.500 0.500 0.500 Eu
0.500 0.000 0.000 Ce
0.000 0.000 0.500 Pm
0.000 0.500 0.000 Pm
```

Entry from Alexandria: a relaxed CuPdCl3 crystal (GGA-PBE).

## Properties
Size of the total moment: 0.00 μB per cell
Formation energy without anion corrections: -410 meV per atom

```
CuPdCl3
1.0
-0.137 -2.703 -2.248
7.308 2.616 -0.838
0.425 -6.334 7.591
Cu Pd Cl
2 2 6
Direct
0.961 0.922 0.625 Cu
0.039 0.078 0.375 Cu
0.614 0.228 0.958 Pd
0.386 0.772 0.042 Pd
0.380 0.759 0.532 Cl
0.620 0.241 0.468 Cl
0.855 0.710 0.876 Cl
0.145 0.290 0.124 Cl
0.090 0.179 0.790 Cl
0.910 0.821 0.210 Cl
```

Entry from Alexandria: a relaxed Li2Dy3Pd4 crystal (GGA-PBE).

## Properties
ΔE_f: -0.608 eV/atom
Size of the total moment: 0.00 μB per cell

```
Li2Dy3Pd4
1.0
-3.402 -1.112 6.029
5.736 -1.343 4.563
0.220 6.835 2.959
Li Dy Pd
4 6 8
Direct
0.443 0.182 0.501 Li
0.057 0.499 0.818 Li
0.557 0.818 0.499 Li
0.943 0.501 0.182 Li
0.894 0.023 0.261 Dy
0.606 0.739 0.977 Dy
0.106 0.977 0.739 Dy
0.394 0.261 0.023 Dy
0.250 0.598 0.402 Dy
0.750 0.402 0.598 Dy
0.339 0.946 0.261 Pd
0.161 0.739 0.054 Pd
0.661 0.054 0.739 Pd
0.839 0.261 0.946 Pd
0.116 0.254 0.398 Pd
0.384 0.602 0.746 Pd
0.884 0.746 0.602 Pd
0.616 0.398 0.254 Pd
```

Entry from Alexandria: a relaxed Ho3Er4Ru4 crystal (GGA-PBE).

## Properties
ΔE_f: -0.353 eV/atom
Size of the total moment: 0.00 μB per cell

```
Ho3Er4Ru4
1.0
-0.219 1.299 3.252
-8.802 -0.047 -0.575
4.355 -8.125 1.645
Ho Er Ru
3 4 4
Direct
0.098 0.098 0.196 Ho
0.902 0.902 0.804 Ho
0.000 0.500 0.000 Ho
0.335 0.144 0.670 Er
0.665 0.474 0.330 Er
0.665 0.856 0.330 Er
0.335 0.526 0.670 Er
0.257 0.757 0.515 Ru
0.743 0.243 0.485 Ru
0.500 0.776 0.000 Ru
0.500 0.224 0.000 Ru
```

The highest size of the total moment belongs to which entry? CePm2Eu